TaBiSeBr2 PBE-GGA optimized geometry; energy relative to the elements, uncorrected = 1024 meV/atom; offset from the most stable computed form = 0.904 eV/atom; calculated volume = 180.3 Å³ per cell; N(E_F) = 6.3 states/eV/f.u.; space-group type = P4/mmm (123)
1.0
5.603 0.000 0.000
0.000 5.603 0.000
0.000 0.000 5.745
Ta Bi Se Br
1 1 1 2
direct
0.000 0.000 0.000
0.500 0.500 0.500
0.500 0.500 0.000
0.000 0.500 0.500
0.500 0.000 0.500